This record from the Alexandria database describes a geometry-optimized Tb2RuSe structure. The functional is PBE.

**E**: -6.369 eV per atom
**Energy above the most stable polymorph in this dataset**: 86 meV per atom
**Raw formation energy**: -863.5 meV/atom
**Fermi-level density of states**: 11.2 states/eV per cell

abc: 3.9335 3.9335 21.5886
angles: 90.00 90.00 120.00
Positions (direct):
Tb  0.0000  0.0000  0.2439
Tb  0.0000  0.0000  0.7561
Tb  0.3333  0.6667  0.4228
Tb  0.3333  0.6667  0.9105
Tb  0.6667  0.3333  0.0895
Tb  0.6667  0.3333  0.5772
Ru  0.0000  0.0000  0.5000
Ru  0.3333  0.6667  0.1667
Ru  0.6667  0.3333  0.8333
Se  0.0000  0.0000  0.0000
Se  0.3333  0.6667  0.6667
Se  0.6667  0.3333  0.3333